DFT (PBE) results for crystalline CrReAg2 at its relaxed geometry.

## Properties
Space-group type: Imm2 (44)
Distance to the lowest polymorph of the same formula (eV per atom): 0.252
Energy of formation (eV per atom): 0.618

Geometry as POSCAR:
```
CrReAg2
1.0
3.047 0.000 0.000
0.000 4.735 0.000
0.000 0.000 8.982
Cr Re Ag
2 2 4
direct
0.000 0.000 0.000
0.500 0.500 0.500
0.000 0.500 0.685
0.500 0.000 0.185
0.000 0.000 0.462
0.000 0.500 0.236
0.500 0.000 0.736
0.500 0.500 0.962
```